No. 1
An optimized crystal structure of NbSn2C2, computed with PBE-GGA.

Summary:
The value obtained for the energy above the lowest structure with this stoichiometry is 0.000 eV/atom. The space group is P4/mbm (127). The formation energy from the elements comes out at 0.92 eV per atom. The total energy is -63.839 eV/cell.

Cell and atoms, written as POSCAR:
```
NbSn2C2
1.0
6.542 0.000 0.000
0.000 6.542 0.000
0.000 0.000 3.707
Sn C Nb
4 4 2
Direct
0.852 0.352 0.500
0.648 0.852 0.500
0.352 0.148 0.500
0.148 0.648 0.500
0.278 0.778 0.000
0.722 0.222 0.000
0.778 0.722 0.000
0.222 0.278 0.000
0.500 0.500 0.000
0.000 0.000 0.000
```

No. 2
An optimized crystal structure of NbSn2C2, computed with PBE-GGA.

Summary:
The value obtained for the energy above the lowest structure with this stoichiometry is 0.343 eV/atom. The space group is I4/mmm (139). The formation energy from the elements comes out at 1.26 eV per atom. The total energy is -30.202 eV/cell.

Cell and atoms, written as POSCAR:
```
NbSn2C2
1.0
4.130 0.000 0.000
0.000 4.130 0.000
2.065 2.065 4.981
C Sn Nb
2 2 1
Direct
0.565 0.565 0.870
0.435 0.435 0.130
0.750 0.250 0.500
0.250 0.750 0.500
0.000 0.000 0.000
```

No. 3
An optimized crystal structure of Nb6SnC2, computed with PBE-GGA.

Summary:
The space group is C2/m (12). The formation energy from the elements comes out at 0.11 eV per atom. The total energy is -81.892 eV/cell.

Cell and atoms, written as POSCAR:
```
Nb6SnC2
1.0
4.427 0.000 0.000
2.214 5.025 -0.075
2.214 2.075 7.075
Nb Sn C
6 1 2
Direct
0.997 0.842 0.165
0.691 0.206 0.412
0.309 0.794 0.588
0.323 0.281 0.073
0.677 0.719 0.927
0.003 0.158 0.835
0.000 0.500 0.500
0.807 0.285 0.101
0.193 0.715 0.899
```

No. 4
An optimized crystal structure of Nb8Sn2C3, computed with PBE-GGA.

Summary:
The space group is C2/m (12). The formation energy from the elements comes out at -0.09 eV per atom. The total energy is -117.437 eV/cell.

Cell and atoms, written as POSCAR:
```
Nb8Sn2C3
1.0
5.413 0.000 0.267
0.000 6.248 0.000
-1.920 -3.124 6.864
Nb Sn C
8 2 3
Direct
0.113 0.912 0.824
0.914 0.594 0.187
0.887 0.088 0.176
0.393 0.342 0.166
0.607 0.658 0.834
0.393 0.824 0.166
0.607 0.176 0.834
0.086 0.406 0.813
0.336 0.247 0.494
0.664 0.753 0.506
0.000 0.756 0.000
0.500 0.000 0.000
0.000 0.244 0.000
```

No. 5
An optimized crystal structure of Nb3SnC, computed with PBE-GGA.

Summary:
The space group is Pmma (51). The formation energy from the elements comes out at -0.24 eV per atom. The total energy is -89.237 eV/cell.

Cell and atoms, written as POSCAR:
```
Nb3SnC
1.0
-1.208 -2.932 -3.096
3.624 -2.504 0.956
-4.400 -4.196 5.691
Nb C Sn
6 2 2
Direct
0.500 0.750 0.621
0.500 0.250 0.379
0.000 0.750 0.377
0.500 0.750 0.107
0.500 0.250 0.893
0.000 0.250 0.623
0.500 0.750 0.368
0.500 0.250 0.632
0.000 0.750 0.859
0.000 0.250 0.141
```

No. 6
An optimized crystal structure of NbSnC2, computed with PBE-GGA.

Summary:
The space group is I-42d (122). The formation energy from the elements comes out at 0.64 eV per atom. The total energy is -59.887 eV/cell.

Cell and atoms, written as POSCAR:
```
NbSnC2
1.0
-0.263 3.332 3.828
-4.375 1.794 -1.862
-4.786 -0.690 3.645
C Sn Nb
4 2 2
Direct
0.602 0.125 0.250
0.875 0.852 0.750
0.148 0.625 0.250
0.375 0.398 0.750
0.750 0.250 0.500
0.000 0.000 0.000
0.250 0.750 0.500
0.500 0.500 0.000
```

No. 7
An optimized crystal structure of Nb8Sn2C, computed with PBE-GGA.

Summary:
The space group is C2/m (12). The formation energy from the elements comes out at 0.15 eV per atom. The total energy is -96.147 eV/cell.

Cell and atoms, written as POSCAR:
```
Nb8Sn2C
1.0
4.972 0.869 0.722
0.924 7.472 2.489
0.924 3.813 6.891
Nb Sn C
8 2 1
Direct
0.951 0.248 0.248
0.049 0.752 0.752
0.196 0.317 0.793
0.354 0.352 0.352
0.804 0.683 0.207
0.646 0.648 0.648
0.804 0.207 0.683
0.196 0.793 0.317
0.445 0.861 0.861
0.555 0.139 0.139
0.000 0.000 0.000
```

No. 8
An optimized crystal structure of NbTc2SnC, computed with PBE-GGA.

Summary:
The space group is P4/mmm (123). The formation energy from the elements comes out at 0.02 eV per atom. The total energy is -43.918 eV/cell.

Cell and atoms, written as POSCAR:
```
NbTc2SnC
1.0
4.196 0.000 0.000
0.000 4.196 0.000
0.000 0.000 4.258
Nb C Sn Tc
1 1 1 2
Direct
0.000 0.000 0.500
0.000 0.000 0.000
0.500 0.500 0.500
0.500 0.000 0.000
0.000 0.500 0.000
```

No. 9
An optimized crystal structure of SrNbC3, computed with PBE-GGA.

Summary:
The value obtained for the energy above the lowest structure with this stoichiometry is 0.000 eV/atom. The space group is Pm-3m (221). The formation energy from the elements comes out at 1.02 eV per atom. The total energy is -34.323 eV/cell.

Cell and atoms, written as POSCAR:
```
SrNbC3
1.0
-2.784 2.957 1.334
-1.140 -2.538 3.245
3.037 1.758 2.442
Sr C Nb
1 3 1
Direct
0.500 0.500 0.500
0.000 0.500 0.000
0.500 0.000 0.000
0.000 0.000 0.500
0.000 0.000 0.000
```

No. 10
An optimized crystal structure of Sr4Nb2C, computed with PBE-GGA.

Summary:
The space group is I4/mmm (139). The formation energy from the elements comes out at 1.26 eV per atom. The total energy is -27.278 eV/cell.

Cell and atoms, written as POSCAR:
```
Sr4Nb2C
1.0
-4.644 1.864 1.957
-2.390 -4.648 -1.246
-1.504 -4.501 8.095
Sr Nb C
4 2 1
Direct
0.164 0.164 0.672
0.000 0.500 0.000
0.836 0.836 0.328
0.500 0.000 0.000
0.630 0.630 0.739
0.370 0.370 0.261
0.000 0.000 0.000
```

No. 11
An optimized crystal structure of SrNb2C2, computed with PBE-GGA.

Summary:
The value obtained for the energy above the lowest structure with this stoichiometry is 0.592 eV/atom. The space group is P4/mbm (127). The formation energy from the elements comes out at 0.68 eV per atom. The total energy is -73.718 eV/cell.

Cell and atoms, written as POSCAR:
```
SrNb2C2
1.0
-6.054 1.897 2.312
1.589 -2.383 6.115
1.162 2.765 0.775
Nb C Sr
4 4 2
Direct
0.140 0.640 0.500
0.860 0.360 0.500
0.360 0.140 0.500
0.640 0.860 0.500
0.372 0.872 0.000
0.128 0.372 0.000
0.872 0.628 0.000
0.628 0.128 0.000
0.000 0.000 0.000
0.500 0.500 0.000
```

No. 12
An optimized crystal structure of SrNb2C2, computed with PBE-GGA.

Summary:
The value obtained for the energy above the lowest structure with this stoichiometry is 0.000 eV/atom. The space group is I4/mmm (139). The formation energy from the elements comes out at 0.09 eV per atom. The total energy is -39.817 eV/cell.

Cell and atoms, written as POSCAR:
```
SrNb2C2
1.0
4.143 0.000 0.000
0.000 4.143 0.000
2.072 2.072 5.869
Nb C Sr
2 2 1
Direct
0.250 0.750 0.500
0.750 0.250 0.500
0.693 0.693 0.615
0.307 0.307 0.385
0.000 0.000 0.000
```

Which formula does entry 7 have?
Nb8Sn2C

Which of these has the lowest formation energy from the elements?
Nb3SnC

Which of these has the lowest formation energy from the elements?
Nb3SnC